No. 1
# TbNdMg4

Crystalline TbNdMg4 at its relaxed geometry (PBE, Alexandria via LeMat-Bulk).

a b c (Å): 8.6079 8.6079 8.6079
angles (deg): 90.00 90.00 90.00
With the nearest neighbours (Å) after each atom.
Space group F-43m (No. 216)
Inequivalent atoms, fractional coordinates:
Tb: 0.0000 0.0000 0.0000 x4  12 Mg 3.57, 4 Nd 3.73
Nd: 0.2500 0.2500 0.2500 x4  12 Mg 3.57, 4 Tb 3.73
Mg: 0.1251 0.1251 0.6251 x16  6 Mg 3.04-3.05

Values from the calculation:
The volume comes out at 26.6 Å³ per atom. Its electronic total energy is -2.7189 eV/atom. For the energy above the lowest structure with this stoichiometry, the calculation gives 0.000 eV/atom. The energy relative to the elements is -0.54 eV per formula unit. For the total magnetization, the calculation gives 0.0 μB per cell.


No. 2
# Tb6Nd2Mg

Crystalline Tb6Nd2Mg at its relaxed geometry (PBE, Alexandria via LeMat-Bulk).

a b c (Å): 10.6319 10.6319 5.0588
angles (deg): 90.00 90.00 90.00
With the nearest neighbours (Å) after each atom.
Space group P4_2/mnm (No. 136)
Inequivalent atoms, fractional coordinates:
Tb: 0.0007 0.3338 0.0000 x8  8 Tb 3.53-3.56, 1 Mg 3.55, 3 Nd 3.56-3.57
Tb: 0.1676 0.1676 0.5000 x4  4 Nd 3.53-3.57, 6 Tb 3.54-3.56, 2 Mg 3.57
Nd: 0.1645 0.8355 0.5000 x4  10 Tb 3.53-3.57, 2 Mg 3.54
Mg: 0.0000 0.0000 0.0000 x2  4 Nd 3.54, 8 Tb 3.55-3.57

Values from the calculation:
The volume comes out at 31.8 Å³ per atom. Its electronic total energy is -4.3032 eV/atom. For the energy above the lowest structure with this stoichiometry, the calculation gives 0.000 eV/atom. The energy relative to the elements is 0.18 eV per formula unit. For the total magnetization, the calculation gives 0.0 μB per cell.